Entry 1:
Sr2LaMgSn | PBE | optimized geometry

Cell lengths 6.171, 5.766, 6.171 Å; angles 90.00, 90.00, 90.00 degrees
Element x y z (fractional)
Sr 0.000 0.000 0.500
Sr 0.500 0.000 0.000
Mg 0.000 0.500 0.000
Sn 0.500 0.500 0.500
La 0.000 0.000 0.000

Values from the calculation:
energy of formation from the pure elements = 847.0 meV/atom
space group = No. 123
raw total energy = -1.931 eV/atom
calculated density = 3.46 g/cm3


Entry 2:
Sr2LaMg2Sn2 | PBE | optimized geometry

Cell lengths 5.022, 5.022, 10.593 Å; angles 76.29, 76.29, 60.00 degrees
Element x y z (fractional)
Sr 0.128 0.128 0.615
Sr 0.872 0.872 0.385
La 0.000 0.000 0.000
Mg 0.605 0.605 0.186
Mg 0.395 0.395 0.814
Sn 0.732 0.732 0.803
Sn 0.268 0.268 0.197

Values from the calculation:
energy of formation from the pure elements = -407.8 meV/atom
space group = No. 166
raw total energy = -3.192 eV/atom
calculated density = 4.48 g/cm3


Entry 3:
SrLa2Mg2Sn2 | PBE | optimized geometry

Cell lengths 5.053, 5.053, 10.179 Å; angles 75.63, 75.63, 60.00 degrees
Element x y z (fractional)
Sr 0.000 0.000 0.000
La 0.134 0.134 0.599
La 0.866 0.866 0.401
Mg 0.586 0.586 0.243
Mg 0.414 0.414 0.757
Sn 0.741 0.741 0.778
Sn 0.259 0.259 0.222

Values from the calculation:
energy of formation from the pure elements = -388.5 meV/atom
space group = No. 166
raw total energy = -3.636 eV/atom
calculated density = 5.02 g/cm3


Entry 4:
LaMgTa2Sn | PBE | optimized geometry

Cell lengths 4.990, 5.080, 4.990 Å; angles 90.00, 90.00, 90.00 degrees
Element x y z (fractional)
Mg 0.000 0.000 0.000
La 0.500 0.500 0.500
Sn 0.000 0.500 0.000
Ta 0.000 0.000 0.500
Ta 0.500 0.000 0.000

Values from the calculation:
energy of formation from the pure elements = 1183.8 meV/atom
space group = No. 123
raw total energy = -5.662 eV/atom
calculated density = 8.45 g/cm3


Entry 5:
LaThMgSn | PBE | optimized geometry

Cell lengths 5.513, 5.513, 5.513 Å; angles 60.00, 60.00, 60.00 degrees
Element x y z (fractional)
Mg 0.750 0.750 0.750
Sn 0.250 0.250 0.250
Th 0.500 0.500 0.500
La 0.000 0.000 0.000

Values from the calculation:
energy of formation from the pure elements = -271.3 meV/atom
space group = No. 216
raw total energy = -4.758 eV/atom
calculated density = 7.20 g/cm3


Entry 6:
LaMgTlSn | PBE | optimized geometry

Cell lengths 5.396, 5.396, 5.396 Å; angles 60.00, 60.00, 60.00 degrees
Element x y z (fractional)
Mg 0.000 0.000 0.000
Tl 0.750 0.750 0.750
Sn 0.250 0.250 0.250
La 0.500 0.500 0.500

Values from the calculation:
energy of formation from the pure elements = -364.2 meV/atom
space group = No. 216
raw total energy = -3.587 eV/atom
calculated density = 7.27 g/cm3